A plane-wave DFT calculation with GGA+U was carried out for crystalline HfBiMoO6 at its relaxed geometry.

Summary:
Total DFT energy (no corrections) = -69.8 eV per formula unit
Magnetic moment = 0.111 μB/atom

a b c (Å): 4.982 4.982 9.987
angles (deg): 90.00 90.00 90.00
Space group P4_2nm (No. 102)
Unique sites:
Hf: 0.000 0.000 0.000 (multiplicity 2)
Bi: 0.000 0.000 0.659 (multiplicity 2)
Mo: 0.000 0.000 0.331 (multiplicity 2)
O: 0.174 0.174 0.170 (multiplicity 4)
O: 0.206 0.206 0.483 (multiplicity 4)
O: 0.227 0.227 0.856 (multiplicity 4)